VASP calculation (PBE-GGA) on a relaxed structure of AcInAgPt.

Calculated values
**Energy of formation from the pure elements**: -497 meV/atom
**Crystal system**: cubic
**Calculated density**: 11.0 g/cm3
**Total energy**: -0.1629 Ha/atom

POSCAR file:
```
AcInAgPt
1.0
0.000 3.648 3.648
3.648 0.000 3.648
3.648 3.648 0.000
Ac In Ag Pt
1 1 1 1
Cartesian
0.000 0.000 0.000 Ac
3.648 3.648 3.648 In
5.472 5.472 5.472 Ag
1.824 1.824 1.824 Pt
```

VASP calculation (PBE-GGA) on a relaxed structure of TcH3S.

Calculated values
**Crystal system**: cubic
**Calculated density**: 5.2 g/cm3
**Total energy**: -0.1546 Ha/atom
**Energy above the lowest structure with this stoichiometry**: 0.000 eV/atom

POSCAR file:
```
TcH3S
1.0
3.496 0.000 0.000
0.000 3.496 0.000
0.000 0.000 3.496
Tc H S
1 3 1
Cartesian
0.000 0.000 0.000 Tc
0.000 0.000 1.748 H
0.000 1.748 0.000 H
1.748 0.000 0.000 H
1.748 1.748 1.748 S
```

VASP calculation (PBE-GGA) on a relaxed structure of NiSnB3.

Calculated values
**Energy of formation from the pure elements**: 1135 meV/atom
**Crystal system**: cubic
**Calculated density**: 5.6 g/cm3
**Total energy**: -0.1774 Ha/atom
**Energy above the lowest structure with this stoichiometry**: 0.000 eV/atom

POSCAR file:
```
NiSnB3
1.0
3.959 0.000 0.000
0.000 3.959 0.000
0.000 0.000 3.959
Ni Sn B
1 1 3
Cartesian
0.000 0.000 0.000 Ni
1.979 1.979 1.979 Sn
0.000 0.000 1.979 B
0.000 1.979 0.000 B
1.979 0.000 0.000 B
```

VASP calculation (PBE-GGA) on a relaxed structure of Mo2IrAu.

Calculated values
**Energy of formation from the pure elements**: 160 meV/atom
**Crystal system**: trigonal
**Calculated density**: 15.0 g/cm3
**Total energy**: -0.3047 Ha/atom
**Energy above the lowest structure with this stoichiometry**: 0.174 eV/atom

POSCAR file:
```
Mo2IrAu
1.0
1.407 0.812 9.417
-1.407 0.812 9.417
0.000 -1.624 9.417
Mo Ir Au
2 1 1
Cartesian
0.000 0.000 0.000 Mo
0.000 0.000 6.978 Mo
0.000 0.000 14.298 Ir
0.000 0.000 21.239 Au
```

VASP calculation (PBE-GGA) on a relaxed structure of NaAs2Pd2.

Calculated values
**Energy of formation from the pure elements**: -329 meV/atom
**Crystal system**: monoclinic
**Calculated density**: 5.7 g/cm3
**Total energy**: -0.1665 Ha/atom
**Energy above the lowest structure with this stoichiometry**: 0.109 eV/atom

POSCAR file:
```
NaAs2Pd2
1.0
3.404 -5.919 0.000
3.404 5.919 0.000
-1.885 0.000 5.610
Na As Pd
2 4 4
Cartesian
1.991 4.720 4.207 Na
2.933 -4.720 1.402 Na
2.933 3.725 1.402 As
1.991 0.332 4.207 As
2.933 -0.332 1.402 As
1.991 -3.725 4.207 As
2.314 1.693 0.085 Pd
1.372 -1.693 2.890 Pd
3.552 1.693 2.719 Pd
2.610 -1.693 5.524 Pd
```

VASP calculation (PBE-GGA) on a relaxed structure of SrLa2As.

Calculated values
**Energy of formation from the pure elements**: -494 meV/atom
**Crystal system**: monoclinic
**Calculated density**: 5.3 g/cm3
**Total energy**: -0.1669 Ha/atom

POSCAR file:
```
SrLa2As
1.0
4.429 0.000 0.000
0.000 4.642 0.000
-2.194 0.000 6.746
Sr La As
1 2 1
Cartesian
0.000 0.000 0.000 Sr
0.006 2.321 3.698 La
2.211 0.000 2.922 La
2.214 2.321 1.110 As
```

VASP calculation (PBE-GGA) on a relaxed structure of LiCeNd2.

Calculated values
**Energy of formation from the pure elements**: 274 meV/atom
**Crystal system**: cubic
**Calculated density**: 6.1 g/cm3
**Total energy**: -0.1497 Ha/atom
**Energy above the lowest structure with this stoichiometry**: 0.191 eV/atom

POSCAR file:
```
LiCeNd2
1.0
0.000 3.901 3.901
3.901 0.000 3.901
3.901 3.901 0.000
Li Ce Nd
1 1 2
Cartesian
0.000 0.000 0.000 Li
3.901 3.901 3.901 Ce
1.950 1.950 1.950 Nd
5.851 5.851 5.851 Nd
```

VASP calculation (PBE-GGA) on a relaxed structure of Sr2Cr.

Calculated values
**Energy of formation from the pure elements**: 665 meV/atom
**Crystal system**: cubic
**Calculated density**: 2.8 g/cm3
**Total energy**: -0.1347 Ha/atom

POSCAR file:
```
Sr2Cr
1.0
8.112 0.000 0.000
0.000 8.112 0.000
0.000 0.000 8.112
Sr Cr
8 4
Cartesian
1.289 1.289 1.289 Sr
1.289 2.767 5.344 Sr
2.767 5.344 1.289 Sr
2.767 6.823 5.344 Sr
5.344 1.289 2.767 Sr
5.344 2.767 6.823 Sr
6.823 5.344 2.767 Sr
6.823 6.823 6.823 Sr
0.000 0.000 4.056 Cr
0.000 4.056 0.000 Cr
4.056 0.000 0.000 Cr
4.056 4.056 4.056 Cr
```

VASP calculation (PBE-GGA) on a relaxed structure of Cd2InSe.

Calculated values
**Crystal system**: orthorhombic
**Calculated density**: 7.1 g/cm3
**Formation energy without anion corrections**: 0.3 eV/f.u.
**Total energy**: -0.0710 Ha/atom
**Energy above the lowest structure with this stoichiometry**: 0.264 eV/atom

POSCAR file:
```
Cd2InSe
1.0
1.897 -2.484 0.000
1.897 2.484 0.000
0.000 0.000 10.450
Cd In Se
2 1 1
Cartesian
0.000 0.000 0.000 Cd
1.897 0.000 2.632 Cd
0.000 0.000 5.532 In
1.897 0.000 8.017 Se
```

VASP calculation (PBE-GGA) on a relaxed structure of Nb2CrSn2Se6.

Calculated values
**Crystal system**: monoclinic
**Calculated density**: 5.9 g/cm3
**Formation energy without anion corrections**: -5.8 eV/f.u.
**Total energy**: -0.2156 Ha/atom

POSCAR file:
```
Nb2CrSn2Se6
1.0
3.055 -5.473 0.000
3.055 5.473 0.000
-1.832 0.000 8.043
Nb Cr Sn Se
2 1 2 6
Cartesian
3.055 4.017 0.000 Nb
3.055 -4.017 0.000 Nb
3.055 0.000 0.000 Cr
2.139 3.126 4.022 Sn
2.139 -3.126 4.022 Sn
-0.658 0.000 6.264 Se
2.111 1.844 1.448 Se
2.168 1.844 6.596 Se
2.111 -1.844 1.448 Se
2.168 -1.844 6.596 Se
4.936 0.000 1.779 Se
```

VASP calculation (PBE-GGA) on a relaxed structure of PuPa2Ti.

Calculated values
**Energy of formation from the pure elements**: 102 meV/atom
**Crystal system**: tetragonal
**Calculated density**: 14.4 g/cm3
**Total energy**: -0.3749 Ha/atom
**Energy above the lowest structure with this stoichiometry**: 0.039 eV/atom

POSCAR file:
```
PuPa2Ti
1.0
3.702 0.000 0.000
0.000 3.702 0.000
0.000 0.000 6.359
Pu Pa Ti
1 2 1
Cartesian
0.000 0.000 0.000 Pu
1.851 1.851 1.602 Pa
1.851 1.851 4.757 Pa
0.000 0.000 3.179 Ti
```

VASP calculation (PBE-GGA) on a relaxed structure of DyNp2As3.

Calculated values
**Energy of formation from the pure elements**: -964 meV/atom
**Crystal system**: orthorhombic
**Calculated density**: 9.7 g/cm3
**Total energy**: -0.3076 Ha/atom

POSCAR file:
```
DyNp2As3
1.0
0.000 5.812 12.322
4.110 0.000 12.322
4.110 5.812 0.000
Dy Np As
4 8 12
Cartesian
1.028 1.453 1.027 Dy
1.028 1.453 5.134 Dy
7.193 10.170 19.511 Dy
7.193 10.170 23.617 Dy
3.083 4.359 3.073 Np
3.083 4.359 7.179 Np
5.138 7.265 9.235 Np
3.083 4.359 11.305 Np
5.138 7.265 13.340 Np
3.083 4.359 15.410 Np
5.138 7.265 17.466 Np
5.138 7.265 21.571 Np
3.088 1.463 7.199 As
5.124 4.359 9.242 As
3.077 1.463 11.284 As
5.133 4.369 13.360 As
7.179 7.265 15.403 As
5.143 4.369 17.446 As
3.077 7.255 7.199 As
1.041 4.359 9.242 As
3.088 7.255 11.284 As
5.143 10.161 13.360 As
3.096 7.265 15.403 As
5.133 10.161 17.446 As
```

VASP calculation (PBE-GGA) on a relaxed structure of ZrWN3.

Calculated values
**Crystal system**: triclinic
**Calculated density**: 9.3 g/cm3
**Formation energy without anion corrections**: -3.4 eV/f.u.
**Total energy**: -0.3666 Ha/atom

POSCAR file:
```
ZrWN3
1.0
3.060 0.000 0.000
0.605 5.679 0.000
0.493 2.153 6.518
Zr W N
2 2 6
Cartesian
0.760 1.244 1.105 Zr
3.397 6.588 5.413 Zr
1.353 4.065 2.176 W
2.805 3.767 4.342 W
1.328 5.217 4.005 N
1.245 2.458 5.212 N
1.435 3.363 0.214 N
2.722 4.470 6.304 N
2.913 5.374 1.306 N
2.830 2.615 2.513 N
```

VASP calculation (PBE-GGA) on a relaxed structure of KTlIn2Br8.

Calculated values
**Crystal system**: tetragonal
**Calculated density**: 4.0 g/cm3
**Formation energy without anion corrections**: -11.9 eV/f.u.
**Total energy**: -0.1050 Ha/atom

POSCAR file:
```
KTlIn2Br8
1.0
-3.661 3.661 8.529
3.661 -3.661 8.529
3.661 3.661 -8.529
K Tl In Br
1 1 2 8
Cartesian
0.000 0.000 0.000 K
3.661 0.000 4.265 Tl
0.000 0.000 8.529 In
0.000 3.661 4.265 In
1.823 -1.130 7.135 Br
2.531 1.838 1.394 Br
-1.132 1.836 2.875 Br
1.838 4.791 -1.394 Br
1.825 2.529 5.655 Br
1.130 1.823 9.924 Br
1.132 5.486 2.875 Br
-1.825 4.793 5.655 Br
```

VASP calculation (PBE-GGA) on a relaxed structure of RbNa2SnF8.

Calculated values
**Crystal system**: triclinic
**Calculated density**: 3.2 g/cm3
**Formation energy without anion corrections**: -29.9 eV/f.u.
**Total energy**: -0.1609 Ha/atom

POSCAR file:
```
RbNa2SnF8
1.0
5.085 0.000 0.000
-0.007 5.195 0.000
-0.346 -0.166 7.813
Rb Na Sn F
1 2 1 8
Cartesian
0.000 0.000 0.000 Rb
2.441 2.551 2.221 Na
2.291 2.479 5.592 Na
-0.173 -0.083 3.907 Sn
0.875 4.196 2.469 F
0.889 4.273 5.385 F
1.129 1.449 3.855 F
1.240 2.183 7.773 F
3.492 2.846 0.041 F
3.604 3.580 3.958 F
3.844 0.756 2.428 F
3.857 0.833 5.345 F
```

VASP calculation (PBE-GGA) on a relaxed structure of GaBiCl.

Calculated values
**Crystal system**: orthorhombic
**Calculated density**: 5.9 g/cm3
**Formation energy without anion corrections**: -1.1 eV/f.u.
**Total energy**: -0.1207 Ha/atom

POSCAR file:
```
GaBiCl
1.0
15.143 0.000 0.000
0.000 3.632 0.000
0.000 0.000 6.411
Ga Bi Cl
4 4 4
Cartesian
1.233 0.908 0.297 Ga
6.338 2.724 3.502 Ga
8.805 0.908 2.909 Ga
13.910 2.724 6.114 Ga
0.962 2.724 4.160 Bi
6.610 0.908 0.955 Bi
8.534 2.724 5.456 Bi
14.181 0.908 2.250 Bi
2.804 2.724 0.986 Cl
4.768 0.908 4.191 Cl
10.375 2.724 2.219 Cl
12.340 0.908 5.424 Cl
```

VASP calculation (PBE-GGA) on a relaxed structure of Na5La3Cl12.

Calculated values
**Crystal system**: cubic
**Calculated density**: 2.9 g/cm3
**Formation energy without anion corrections**: -38.2 eV/f.u.
**Total energy**: -0.1503 Ha/atom

POSCAR file:
```
Na5La3Cl12
1.0
-8.226 8.226 8.226
8.226 -8.226 8.226
8.226 8.226 -8.226
Na La Cl
20 12 48
Cartesian
0.000 0.000 0.000 Na
4.113 4.113 -4.113 Na
4.113 -4.113 4.113 Na
8.226 0.000 0.000 Na
12.338 2.056 0.000 Na
8.226 -4.113 6.169 Na
6.169 8.226 -4.113 Na
6.169 0.000 4.113 Na
4.113 6.169 0.000 Na
8.226 4.113 2.056 Na
-4.113 4.113 4.113 Na
0.000 8.226 0.000 Na
0.000 0.000 8.226 Na
4.113 4.113 4.113 Na
0.000 4.113 6.169 Na
4.113 2.056 8.226 Na
2.056 8.226 4.113 Na
2.056 0.000 12.338 Na
0.000 12.338 2.056 Na
-4.113 6.169 8.226 Na
4.113 2.056 0.000 La
8.226 4.113 -2.056 La
2.056 0.000 4.113 La
10.282 0.000 4.113 La
0.000 4.113 2.056 La
4.113 -2.056 8.226 La
4.113 10.282 0.000 La
8.226 4.113 6.169 La
-2.056 8.226 4.113 La
6.169 8.226 4.113 La
0.000 4.113 10.282 La
4.113 6.169 8.226 La
2.525 -0.365 1.131 Cl
9.813 5.244 -4.478 Cl
7.861 -1.131 2.525 Cl
12.703 -1.588 2.982 Cl
10.751 0.365 1.131 Cl
9.813 -2.982 4.478 Cl
1.131 2.525 -0.365 Cl
11.207 3.748 -1.588 Cl
5.244 4.478 -1.588 Cl
7.094 2.525 0.365 Cl
-0.365 1.131 2.525 Cl
4.478 -1.588 5.244 Cl
7.861 7.094 -2.525 Cl
4.478 1.588 2.982 Cl
7.094 -2.525 7.861 Cl
5.244 -4.478 9.813 Cl
2.982 4.478 1.588 Cl
9.357 5.700 0.365 Cl
2.525 7.861 -1.131 Cl
9.813 2.982 3.748 Cl
4.478 9.813 -2.982 Cl
7.861 1.131 5.700 Cl
1.588 2.982 4.478 Cl
2.525 0.365 7.094 Cl
5.700 7.861 1.131 Cl
6.638 5.244 3.748 Cl
0.365 7.094 2.525 Cl
3.748 -1.588 11.207 Cl
-1.588 5.244 4.478 Cl
5.700 0.365 9.357 Cl
-1.131 2.525 7.861 Cl
5.244 3.748 6.638 Cl
2.982 12.703 -1.588 Cl
1.131 10.751 0.365 Cl
3.748 6.638 5.244 Cl
0.365 1.131 10.751 Cl
3.748 9.813 2.982 Cl
8.590 7.094 5.700 Cl
1.131 5.700 7.861 Cl
2.982 3.748 9.813 Cl
-2.982 4.478 9.813 Cl
7.094 5.700 8.590 Cl
-1.588 11.207 3.748 Cl
-2.525 7.861 7.094 Cl
-4.478 9.813 5.244 Cl
0.365 9.357 5.700 Cl
-1.588 2.982 12.703 Cl
5.700 8.590 7.094 Cl
```

VASP calculation (PBE-GGA) on a relaxed structure of Li2CrCd.

Calculated values
**Energy of formation from the pure elements**: 282 meV/atom
**Crystal system**: trigonal
**Calculated density**: 4.0 g/cm3
**Total energy**: -0.1216 Ha/atom

POSCAR file:
```
Li2CrCd
1.0
1.478 0.853 9.728
-1.478 0.853 9.728
0.000 -1.707 9.728
Li Cr Cd
2 1 1
Cartesian
0.000 0.000 7.217 Li
0.000 0.000 21.966 Li
0.000 0.000 14.591 Cr
0.000 0.000 0.000 Cd
```

VASP calculation (PBE-GGA) on a relaxed structure of MgIrOs3.

Calculated values
**Energy of formation from the pure elements**: 2007 meV/atom
**Crystal system**: cubic
**Calculated density**: 12.3 g/cm3
**Total energy**: -0.2507 Ha/atom
**Energy above the lowest structure with this stoichiometry**: 0.000 eV/atom

POSCAR file:
```
MgIrOs3
1.0
4.735 0.000 0.000
0.000 4.735 0.000
0.000 0.000 4.735
Mg Ir Os
1 1 3
Cartesian
0.000 0.000 0.000 Mg
2.367 2.367 2.367 Ir
0.000 2.367 2.367 Os
2.367 0.000 2.367 Os
2.367 2.367 0.000 Os
```

VASP calculation (PBE-GGA) on a relaxed structure of Zn2SnPd5Au2.

Calculated values
**Energy of formation from the pure elements**: -329 meV/atom
**Crystal system**: tetragonal
**Calculated density**: 11.7 g/cm3
**Total energy**: -0.1557 Ha/atom

POSCAR file:
```
Zn2SnPd5Au2
1.0
9.260 0.000 0.000
0.000 9.260 0.000
0.000 0.000 3.884
Zn Sn Pd Au
4 2 10 4
Cartesian
1.171 3.460 0.000 Zn
3.460 8.090 0.000 Zn
5.801 1.171 0.000 Zn
8.090 5.801 0.000 Zn
0.000 0.000 0.000 Sn
4.630 4.630 0.000 Sn
0.000 4.630 1.942 Pd
0.871 1.761 1.942 Pd
1.761 8.389 1.942 Pd
2.869 3.759 1.942 Pd
3.759 6.391 1.942 Pd
4.630 0.000 1.942 Pd
5.501 2.869 1.942 Pd
6.391 5.501 1.942 Pd
7.499 0.871 1.942 Pd
8.389 7.499 1.942 Pd
1.537 6.167 0.000 Au
3.093 1.537 0.000 Au
6.167 7.723 0.000 Au
7.723 3.093 0.000 Au
```